Entry 1:
Material: LiNd2Si
Method: DFT, GGA-PBE
State: optimized geometry

Geometry as extended XYZ:
```
4
Lattice="-1.5575 3.6916 -0.4046 -2.2015 0.9118 -3.2464 -9.9137 -1.5714 3.7838" Properties=species:S:1:pos:R:3 pbc="T T T"
Li 0.0000 0.0000 0.0000
Nd -6.9762 -0.5180 2.0876
Si -6.8364 1.5160 0.0664
Nd -6.6965 3.5500 -1.9549
```

Properties
E ... -4.245 eV/atom
Symmetry ... No. 166
Total magnetization ... 0.0000 μB per atom
Formation energy from raw total energies ... -0.026 eV/atom

Entry 2:
Material: LaSc2Ru
Method: DFT, GGA-PBE
State: optimized geometry

Geometry as extended XYZ:
```
4
Lattice="-3.4977 3.3653 -1.1828 -2.5551 -1.2114 4.1185 4.7857 1.3903 0.3494" Properties=species:S:1:pos:R:3 pbc="T T T"
Ru -0.8692 2.9163 0.3172
Sc -0.3979 0.6279 2.9678
La -3.0264 1.0770 1.4678
Sc 0.0000 0.0000 0.0000
```

Properties
E ... -6.727 eV/atom
Symmetry ... No. 216
ΔH_f (0 K) ... -4 kJ/mol of formula units
Total magnetization ... 0.0001 μB per atom

Entry 3:
Material: ScOs
Method: DFT, GGA-PBE
State: optimized geometry

Geometry as extended XYZ:
```
16
Lattice="-4.2413 -3.7026 5.8216 -2.2467 -5.7200 -5.2747 3.8039 -2.5526 1.1478" Properties=species:S:1:pos:R:3 pbc="T T T"
Os -2.1337 -6.3680 2.6248
Sc -1.2292 -4.3698 4.0709
Sc -1.5407 -1.7051 1.3139
Os -2.0810 -3.3853 -0.6321
Os -0.5504 -5.6071 -0.9301
Sc -1.9509 -4.2872 -3.0686
Os -2.2103 -7.6116 0.1130
Sc 0.7935 -3.4185 -0.5167
Sc -1.4549 -7.6053 -2.3762
Os -3.4111 -5.7233 -1.4232
Os -0.4738 -4.3635 1.5816
Os -4.4070 -6.0372 1.1789
Sc -4.9473 -7.7175 -0.7670
Sc -3.4776 -8.5566 2.2114
Sc -4.5370 -5.1353 3.6155
Os -3.0768 -3.6992 1.9700
```

Properties
E ... -8.656 eV/atom
Symmetry ... No. 124
ΔH_f (0 K) ... 24 kJ/mol of formula units
Total magnetization ... 0.0000 μB per atom

Entry 4:
Material: NbCo3Tc
Method: DFT, GGA-PBE
State: optimized geometry

Geometry as extended XYZ:
```
5
Lattice="4.3288 0.0000 0.0000 0.0000 4.3288 0.0000 0.0000 0.0000 4.3288" Properties=species:S:1:pos:R:3 pbc="T T T"
Tc 0.0000 0.0000 0.0000
Co 0.0000 2.1644 0.0000
Nb 2.1644 2.1644 2.1644
Co 0.0000 0.0000 2.1644
Co 2.1644 0.0000 0.0000
```

Properties
E ... -7.044 eV/atom
Symmetry ... No. 221
ΔH_f (0 K) ... 631 kJ/mol of formula units
Total magnetization ... 0.3506 μB per atom